# 1
Entry from Alexandria: an optimized crystal structure of CaTlGaAu (PBE).

Values from the calculation:
Calculated density (g/cm3): 9.3
VASP energy (eV per atom): -2.994
ΔE_f (meV per atom): -326
Volume (Å³ per cell): 91.48
SG: F-43m, No. 216
Magnetization (μB/f.u.): 0.00

abc: 5.058 5.058 5.058
angles: 60.00 60.00 60.00
Positions (direct):
Ca 0.000 0.000 0.000
Tl 0.250 0.250 0.250
Ga 0.500 0.500 0.500
Au 0.750 0.750 0.750

=====

# 2
Entry from Alexandria: an optimized crystal structure of Ca2TmGa3Au12 (PBE).

Values from the calculation:
Calculated density (g/cm3): 11.4
VASP energy (eV per atom): -3.452
ΔE_f (meV per atom): -292
Volume (Å³ per cell): 412.02
SG: R-3m, No. 166
Magnetization (μB/f.u.): 0.00

abc: 10.781 10.781 10.781
angles: 37.28 37.28 37.28
Positions (direct):
Ca 0.137 0.137 0.137
Ca 0.863 0.863 0.863
Tm 0.500 0.500 0.500
Ga 0.000 0.500 0.500
Ga 0.500 0.000 0.500
Ga 0.500 0.500 0.000
Au 0.063 0.634 0.634
Au 0.090 0.090 0.683
Au 0.090 0.683 0.090
Au 0.317 0.910 0.910
Au 0.366 0.366 0.937
Au 0.366 0.937 0.366
Au 0.634 0.063 0.634
Au 0.634 0.634 0.063
Au 0.683 0.090 0.090
Au 0.910 0.317 0.910
Au 0.910 0.910 0.317
Au 0.937 0.366 0.366

=====

# 3
Entry from Alexandria: an optimized crystal structure of CaTmGa2Au4 (PBE).

Values from the calculation:
Calculated density (g/cm3): 11.7
VASP energy (eV per atom): -3.805
ΔE_f (meV per atom): -600
Volume (Å³ per cell): 161.45
SG: R-3m, No. 166
Magnetization (μB/f.u.): 0.00

abc: 8.273 8.273 8.273
angles: 34.43 34.43 34.43
Positions (direct):
Ca 0.000 0.000 0.000
Tm 0.500 0.500 0.500
Ga 0.252 0.252 0.252
Ga 0.748 0.748 0.748
Au 0.131 0.131 0.131
Au 0.377 0.377 0.377
Au 0.623 0.623 0.623
Au 0.869 0.869 0.869

=====

# 4
Entry from Alexandria: an optimized crystal structure of Ca2TmGa3Au4 (PBE).

Values from the calculation:
Calculated density (g/cm3): 9.3
VASP energy (eV per atom): -3.688
ΔE_f (meV per atom): -622
Volume (Å³ per cell): 223.50
SG: P-4m2, No. 115
Magnetization (μB/f.u.): 0.00

abc: 4.390 4.390 11.599
angles: 90.00 90.00 90.00
Positions (direct):
Ca 0.000 0.500 0.223
Ca 0.500 0.000 0.777
Tm 0.000 0.000 0.500
Ga 0.000 0.500 0.875
Ga 0.500 0.000 0.125
Ga 0.500 0.500 0.500
Au 0.000 0.000 0.000
Au 0.000 0.500 0.657
Au 0.500 0.000 0.343
Au 0.500 0.500 0.000

=====

# 5
Entry from Alexandria: an optimized crystal structure of CaYGaAu (PBE).

Values from the calculation:
Calculated density (g/cm3): 6.8
VASP energy (eV per atom): -4.372
ΔE_f (meV per atom): -679
Volume (Å³ per cell): 96.17
SG: P4mm, No. 99
Magnetization (μB/f.u.): 0.00

abc: 3.641 3.641 7.256
angles: 90.00 90.00 90.00
Positions (direct):
Ca 0.000 0.000 0.000
Y 0.000 0.000 0.493
Ga 0.500 0.500 0.733
Au 0.500 0.500 0.267

=====

# 6
Entry from Alexandria: an optimized crystal structure of Ca2ZnGa4Au3 (PBE).

Values from the calculation:
Calculated density (g/cm3): 8.2
VASP energy (eV per atom): -3.250
ΔE_f (meV per atom): -528
Volume (Å³ per cell): 205.20
SG: P-4m2, No. 115
Magnetization (μB/f.u.): 0.00

abc: 4.259 4.259 11.310
angles: 90.00 90.00 90.00
Positions (direct):
Ca 0.000 0.500 0.245
Ca 0.500 0.000 0.755
Zn 0.500 0.500 0.000
Ga 0.000 0.000 0.500
Ga 0.000 0.500 0.866
Ga 0.500 0.000 0.134
Ga 0.500 0.500 0.500
Au 0.000 0.000 0.000
Au 0.000 0.500 0.642
Au 0.500 0.000 0.358

=====

# 7
Entry from Alexandria: an optimized crystal structure of CaZnGaAu3 (PBE).

Values from the calculation:
Calculated density (g/cm3): 10.0
VASP energy (eV per atom): -3.046
ΔE_f (meV per atom): -356
Volume (Å³ per cell): 255.39
SG: Cmcm, No. 63
Magnetization (μB/f.u.): 0.00

abc: 7.088 7.088 5.938
angles: 90.00 90.00 121.12
Positions (direct):
Ca 0.203 0.797 0.750
Ca 0.797 0.203 0.250
Zn 0.446 0.554 0.750
Zn 0.554 0.446 0.250
Ga 0.132 0.868 0.250
Ga 0.868 0.132 0.750
Au 0.210 0.210 0.000
Au 0.210 0.210 0.500
Au 0.335 0.665 0.250
Au 0.665 0.335 0.750
Au 0.790 0.790 0.000
Au 0.790 0.790 0.500

=====

# 8
Entry from Alexandria: an optimized crystal structure of CaZn2Ga4Au (PBE).

Values from the calculation:
Calculated density (g/cm3): 6.9
VASP energy (eV per atom): -2.697
ΔE_f (meV per atom): -206
Volume (Å³ per cell): 156.70
SG: R-3m, No. 166
Magnetization (μB/f.u.): 0.00

abc: 9.509 9.509 9.509
angles: 27.04 27.04 27.04
Positions (direct):
Ca 0.000 0.000 0.000
Zn 0.266 0.266 0.266
Zn 0.734 0.734 0.734
Ga 0.130 0.130 0.130
Ga 0.400 0.400 0.400
Ga 0.600 0.600 0.600
Ga 0.870 0.870 0.870
Au 0.500 0.500 0.500

=====

# 9
Entry from Alexandria: an optimized crystal structure of Ca3Zn2GaAu9 (PBE).

Values from the calculation:
Calculated density (g/cm3): 9.4
VASP energy (eV per atom): -3.069
ΔE_f (meV per atom): -331
Volume (Å³ per cell): 367.91
SG: P-3m1, No. 164
Magnetization (μB/f.u.): 0.00

abc: 6.636 6.636 9.648
angles: 90.00 90.00 120.00
Positions (direct):
Ca 0.000 0.000 0.000
Ca 0.333 0.667 0.735
Ca 0.667 0.333 0.265
Zn 0.333 0.667 0.174
Zn 0.667 0.333 0.826
Ga 0.000 0.000 0.500
Au 0.000 0.500 0.000
Au 0.143 0.286 0.292
Au 0.143 0.857 0.292
Au 0.286 0.143 0.708
Au 0.500 0.000 0.000
Au 0.500 0.500 0.000
Au 0.714 0.857 0.292
Au 0.857 0.143 0.708
Au 0.857 0.714 0.708

=====

# 10
Entry from Alexandria: an optimized crystal structure of CaZn4GaAu2 (PBE).

Values from the calculation:
Calculated density (g/cm3): 8.3
VASP energy (eV per atom): -2.329
ΔE_f (meV per atom): -244
Volume (Å³ per cell): 153.00
SG: R-3m, No. 166
Magnetization (μB/f.u.): 0.00

abc: 9.360 9.360 9.360
angles: 27.38 27.38 27.38
Positions (direct):
Ca 0.000 0.000 0.000
Zn 0.124 0.124 0.124
Zn 0.401 0.401 0.401
Zn 0.599 0.599 0.599
Zn 0.876 0.876 0.876
Ga 0.500 0.500 0.500
Au 0.255 0.255 0.255
Au 0.745 0.745 0.745

=====

# 11
Entry from Alexandria: an optimized crystal structure of CaZn2GaAu2 (PBE).

Values from the calculation:
Calculated density (g/cm3): 9.0
VASP energy (eV per atom): -2.753
ΔE_f (meV per atom): -398
Volume (Å³ per cell): 117.49
SG: P-3m1, No. 164
Magnetization (μB/f.u.): 0.00

abc: 4.528 4.528 6.618
angles: 90.00 90.00 120.00
Positions (direct):
Ca 0.000 0.000 0.000
Zn 0.333 0.667 0.713
Zn 0.667 0.333 0.287
Ga 0.000 0.000 0.500
Au 0.333 0.667 0.281
Au 0.667 0.333 0.719

=====

# 12
Entry from Alexandria: an optimized crystal structure of Ca2ZnGa3Au4 (PBE).

Values from the calculation:
Calculated density (g/cm3): 9.1
VASP energy (eV per atom): -3.296
ΔE_f (meV per atom): -549
Volume (Å³ per cell): 209.05
SG: P-4m2, No. 115
Magnetization (μB/f.u.): 0.00

abc: 4.365 4.365 10.974
angles: 90.00 90.00 90.00
Positions (direct):
Ca 0.000 0.500 0.248
Ca 0.500 0.000 0.752
Zn 0.000 0.000 0.500
Ga 0.000 0.500 0.867
Ga 0.500 0.000 0.133
Ga 0.500 0.500 0.500
Au 0.000 0.000 0.000
Au 0.000 0.500 0.637
Au 0.500 0.000 0.363
Au 0.500 0.500 0.000